Entry 1:
Density functional theory data (GGA-PBE) for a relaxed structure of Li2CrPt.

abc: 2.623 2.623 9.118
angles: 90.00 90.00 117.55
Positions (direct):
1 Li 0.000 0.000 0.242
2 Li 0.000 0.000 0.758
3 Cr 0.500 0.500 0.500
4 Pt 0.500 0.500 0.000

Its density of states at the Fermi level is 2.79 states/eV per cell. The energy above the most stable polymorph in this dataset comes out at 197 meV/atom. Its magnetic moment is 0.97 μB per formula unit. Its symmetry is Cmmm (65).

Entry 2:
Density functional theory data (GGA-PBE) for a relaxed structure of Li2CrPt.

abc: 4.874 4.874 4.521
angles: 104.12 104.12 34.23
Positions (direct):
1 Li 0.238 0.238 0.231
2 Li 0.762 0.762 0.769
3 Cr 0.000 0.000 0.500
4 Pt 0.500 0.500 0.000

Its density of states at the Fermi level is 1.59 states/eV per cell. The energy above the most stable polymorph in this dataset comes out at 0 meV/atom. Its magnetic moment is 3.61 μB per formula unit. Its symmetry is C2/m (12).

Entry 3:
Density functional theory data (GGA-PBE) for a relaxed structure of Li2CrPt.

abc: 9.705 9.705 9.705
angles: 159.07 159.07 29.76
Positions (direct):
1 Li 0.118 0.625 0.993
2 Li 0.375 0.368 0.493
3 Li 0.632 0.125 0.007
4 Li 0.875 0.882 0.507
5 Cr 0.250 0.750 0.500
6 Cr 0.500 0.500 0.000
7 Pt 0.000 0.000 0.000
8 Pt 0.750 0.250 0.500

Its density of states at the Fermi level is 12.10 states/eV per cell. The energy above the most stable polymorph in this dataset comes out at 396 meV/atom. Its magnetic moment is 0.00 μB per formula unit. Its symmetry is I-42d (122).

Entry 4:
Density functional theory data (GGA-PBE) for a relaxed structure of LiCr2Pt.

abc: 4.811 4.811 2.564
angles: 90.00 90.00 121.22
Positions (direct):
1 Li 0.000 0.000 0.000
2 Cr 0.000 0.500 0.500
3 Cr 0.500 0.000 0.500
4 Pt 0.500 0.500 0.000

Its density of states at the Fermi level is 3.51 states/eV per cell. Its magnetic moment is 0.00 μB per formula unit. Its symmetry is Cmmm (65).

Entry 5:
Density functional theory data (GGA-PBE) for a relaxed structure of LiCr2Pt9.

abc: 3.900 3.900 11.716
angles: 90.00 90.00 90.00
Positions (direct):
1 Li 0.000 0.000 0.000
2 Cr 0.000 0.000 0.332
3 Cr 0.000 0.000 0.668
4 Pt 0.000 0.500 0.166
5 Pt 0.000 0.500 0.500
6 Pt 0.000 0.500 0.834
7 Pt 0.500 0.000 0.166
8 Pt 0.500 0.000 0.500
9 Pt 0.500 0.000 0.834
10 Pt 0.500 0.500 0.000
11 Pt 0.500 0.500 0.332
12 Pt 0.500 0.500 0.668

Its density of states at the Fermi level is 14.75 states/eV per cell. Its magnetic moment is 4.65 μB per formula unit. Its symmetry is P4/mmm (123).

Entry 6:
Density functional theory data (GGA-PBE) for a relaxed structure of LiCr2Pt.

abc: 4.248 4.248 4.248
angles: 120.08 120.08 89.86
Positions (direct):
1 Li 0.000 0.000 0.000
2 Cr 0.500 0.500 0.000
3 Cr 0.750 0.250 0.500
4 Pt 0.250 0.750 0.500

Its density of states at the Fermi level is 4.50 states/eV per cell. Its magnetic moment is 0.61 μB per formula unit. Its symmetry is I-4m2 (119).

no.,DFT total energy (eV per atom),formation enthalpy at 0 K (eV/atom)
1,-4.82,0.049
2,-5.02,-0.149
3,-4.63,0.248
4,-6.70,0.101
5,-6.61,-0.319
6,-6.86,-0.062